{
  "formula": "CsRhN2F",
  "functional": "meta-GGA SCAN",
  "state": "single point on PBEsol structure",
  "mass_density_kg_m3": 5575,
  "crystal_system": "tetragonal",
  "space_group": "No. 123",
  "formation_energy_uncorrected_kj_per_mol_fu": -22,
  "lattice_angstrom": [[3.771, 0.000, 0.000], [0.000, 3.771, 0.000], [0.000, 0.000, 5.924]],
  "species": ["Cs", "N", "N", "Rh", "F"],
  "frac_coords": [[0.500, 0.500, 0.500], [0.000, 0.500, 0.000], [0.500, 0.000, 0.000], [0.000, 0.000, 0.000], [0.000, 0.000, 0.500]]
}